1.
A relaxed TiOs3C crystal, computed with PBE-GGA.

POSCAR file:
```
TiOs3C
1.0
4.537 0.000 0.000
0.000 4.537 0.000
0.000 0.000 4.537
Os Ti C
3 1 1
direct
0.500 0.000 0.000
0.000 0.000 0.500
0.000 0.500 0.000
0.000 0.000 0.000
0.500 0.500 0.500
```

Summary:
Theoretical density: 11.21 Mg/m³
Total magnetization: 0.917 μB/f.u.

2.
A relaxed TiOs3C crystal, computed with PBE-GGA.

POSCAR file:
```
TiOs3C
1.0
4.057 0.000 0.000
0.000 4.057 0.000
0.000 0.000 4.057
Os Ti C
3 1 1
direct
0.000 0.500 0.000
0.500 0.000 0.000
0.000 0.000 0.500
0.500 0.500 0.500
0.000 0.000 0.000
```

Summary:
Theoretical density: 15.68 Mg/m³
Total magnetization: 0.000 μB/f.u.

Most stable = 2

1.
A relaxed Tl3OsC crystal, computed with PBE-GGA.

POSCAR file:
```
Tl3OsC
1.0
4.726 0.000 0.000
0.000 4.726 0.000
0.000 0.000 4.726
C Os Tl
1 1 3
direct
0.000 0.000 0.000
0.500 0.500 0.500
0.000 0.500 0.000
0.500 0.000 0.000
0.000 0.000 0.500
```

Summary:
Theoretical density: 12.83 Mg/m³
Total magnetization: 0.000 μB/f.u.

2.
A relaxed Tl3OsC crystal, computed with PBE-GGA.

POSCAR file:
```
Tl3OsC
1.0
5.292 0.000 0.000
0.000 5.292 0.000
0.000 0.000 5.292
Tl C Os
3 1 1
direct
0.000 0.500 0.000
0.000 0.000 0.500
0.500 0.000 0.000
0.500 0.500 0.500
0.000 0.000 0.000
```

Summary:
Theoretical density: 9.14 Mg/m³
Total magnetization: 2.485 μB/f.u.

Most stable = 2

1.
A relaxed TlOs3C crystal, computed with PBE-GGA.

POSCAR file:
```
TlOs3C
1.0
4.161 0.000 0.000
0.000 4.161 0.000
0.000 0.000 4.161
Os C Tl
3 1 1
direct
0.000 0.500 0.000
0.000 0.000 0.500
0.500 0.000 0.000
0.000 0.000 0.000
0.500 0.500 0.500
```

Summary:
Theoretical density: 18.14 Mg/m³
Total magnetization: 0.000 μB/f.u.

2.
A relaxed TlOs3C crystal, computed with PBE-GGA.

POSCAR file:
```
TlOs3C
1.0
-0.268 -4.904 -1.117
3.303 -1.015 3.664
-3.793 -0.538 3.270
Os C Tl
3 1 1
direct
0.500 0.000 0.000
0.000 0.000 0.500
0.000 0.500 0.000
0.500 0.500 0.500
0.000 0.000 0.000
```

Summary:
Theoretical density: 10.23 Mg/m³
Total magnetization: 5.508 μB/f.u.

Most stable = 1

1.
A relaxed U2OsC crystal, computed with PBE-GGA.

POSCAR file:
```
U2OsC
1.0
-2.745 0.966 0.554
-0.341 -2.131 2.029
2.534 4.344 4.986
C U Os
1 2 1
direct
0.500 0.500 0.000
0.000 0.000 0.791
0.000 0.000 0.209
0.500 0.500 0.500
```

Summary:
Theoretical density: 18.13 Mg/m³
Total magnetization: 0.001 μB/f.u.

2.
A relaxed U2OsC crystal, computed with PBE-GGA.

POSCAR file:
```
U2OsC
1.0
3.475 0.000 0.000
1.738 3.010 0.000
1.738 1.003 6.712
U C Os
2 1 1
direct
0.763 0.763 0.712
0.237 0.237 0.288
0.500 0.500 0.500
0.000 0.000 0.000
```

Summary:
Theoretical density: 16.04 Mg/m³
Total magnetization: 0.000 μB/f.u.

Most stable = 2